Entry 1:
A relaxed structure of LaCd2Os, computed with PBE.

The structure belongs to space group Fm-3m (No. 225); the cell edges are 7.084, 7.084 and 7.084 Å and the angles 90.00°, 90.00° and 90.00°. Symmetry generates all atoms from La at (0.000, 0.000, 0.000), Cd at (0.250, 0.250, 0.250) and Os at (0.000, 0.000, 0.500).

Its formation energy from the elements is 0.338 eV/atom. The total magnetic moment is 0.0 μB/f.u.

***

Entry 2:
A relaxed structure of ErPaPdRh, computed with PBE.

The structure belongs to space group F-43m (No. 216); the cell edges are 6.933, 6.933 and 6.933 Å and the angles 90.00°, 90.00° and 90.00°. Symmetry generates all atoms from Er at (0.000, 0.000, 0.000), Pa at (0.000, 0.000, 0.500), Pd at (0.250, 0.250, 0.750) and Rh at (0.250, 0.250, 0.250).

Its formation energy from the elements is -0.639 eV/atom. The total magnetic moment is 0.2 μB/f.u.

***

Entry 3:
A relaxed structure of DyTm2Th, computed with PBE.

The structure belongs to space group P2/c (No. 13); the cell edges are 6.217, 7.150 and 11.315 Å and the angles 90.00°, 90.16° and 90.00°. Symmetry generates all atoms from Dy at (0.168, 0.002, 0.375), Tm at (0.167, 0.499, 0.375), Tm at (0.335, 0.251, 0.626) and Th at (0.335, 0.251, 0.125).

Its formation energy from the elements is 0.031 eV/atom. The total magnetic moment is 0.0 μB/f.u.

***

Entry 4:
A relaxed structure of Co2RhW, computed with PBE.

The structure belongs to space group R-3m (No. 166, hexagonal axes); the cell edges are 2.6853, 2.6853 and 25.6370 Å and the angles 90.00°, 90.00° and 120.00°. Symmetry generates all atoms from Co at (0.0000, 0.0000, 0.2488), Rh at (0.0000, 0.0000, 0.5000) and W at (0.0000, 0.0000, 0.0000).

Its formation energy from the elements is 0.204 eV/atom. The total magnetic moment is 3.5 μB/f.u.

***

Entry 5:
A relaxed structure of TeHSe3, computed with PBE.

The structure belongs to space group Pm-3m (No. 221); the cell edges are 5.417, 5.417 and 5.417 Å and the angles 90.00°, 90.00° and 90.00°. Symmetry generates all atoms from Te at (0.000, 0.000, 0.000), H at (0.500, 0.500, 0.500) and Se at (0.000, 0.000, 0.500).

The total magnetic moment is 0.9 μB/f.u.

***

Entry 6:
A relaxed structure of CdGaPt2, computed with PBE.

The structure belongs to space group Pmmn (No. 59, origin choice 2); the cell edges are 3.918, 5.631 and 6.819 Å and the angles 90.00°, 90.00° and 90.00°. Symmetry generates all atoms from Cd at (0.250, 0.250, 0.065), Ga at (0.250, 0.750, 0.388) and Pt at (0.250, 0.507, 0.707).

Its formation energy from the elements is -0.473 eV/atom. The total magnetic moment is 0.0 μB/f.u.

***

Entry 7:
A relaxed structure of Sc3AlO, computed with PBE.

The structure belongs to space group Cmmm (No. 65); the cell edges are 6.190, 12.916 and 4.302 Å and the angles 90.00°, 90.00° and 90.00°. Symmetry generates all atoms from Sc at (0.000, 0.130, 0.000), Sc at (0.248, 0.000, 0.500), Sc at (0.250, 0.250, 0.500), Al at (0.000, 0.372, 0.000) and O at (0.000, 0.127, 0.500).

The total magnetic moment is 0.0 μB/f.u. The value obtained for the formation energy from raw total energies is -1417 meV per atom.

***

Entry 8:
A relaxed structure of ZrIn2Os, computed with PBE.

The structure belongs to space group P2/m (No. 10); the cell edges are 3.232, 4.766 and 5.283 Å and the angles 90.00°, 98.01° and 90.00°. Symmetry generates all atoms from Zr at (0.000, 0.000, 0.000), In at (0.334, 0.500, 0.737) and Os at (0.500, 0.000, 0.500).

Its formation energy from the elements is 0.118 eV/atom. The total magnetic moment is 0.0 μB/f.u.

***

In order of appearance, DFT total energy = -4.16; -7.29; -5.21; -8.42; -2.43; -4.48; -6.96; -6.20 eV per atom.